[1]
CsTi3Co | Alexandria | PBE | optimized geometry; space-group type = Pm-3m, No. 221; energy of formation from the pure elements = 2.383 eV/atom; final energy = -3.946 eV/atom; DOS(E_F) = 11.4 states/eV/cell
1.0
4.9040 0.0000 0.0000
0.0000 4.9040 0.0000
0.0000 0.0000 4.9040
Cs Ti Co
1 3 1
Direct
0.0000 0.0000 0.0000
0.0000 0.0000 0.5000
0.0000 0.5000 0.0000
0.5000 0.0000 0.0000
0.5000 0.5000 0.5000

---

[2]
CsTiCo2W | Alexandria | PBE | optimized geometry; space-group type = P4/mmm, No. 123; energy of formation from the pure elements = 2.784 eV/atom; final energy = -4.398 eV/atom; DOS(E_F) = 6.8 states/eV/cell
1.0
4.5104 0.0000 0.0000
0.0000 4.5104 0.0000
0.0000 0.0000 4.8836
Cs Ti Co W
1 1 2 1
Direct
0.0000 0.0000 0.0000
0.0000 0.0000 0.5000
0.0000 0.5000 0.0000
0.5000 0.0000 0.0000
0.5000 0.5000 0.5000

---

- Which of these has the highest final energy?
  CsTi3Co